Record 1
First-principles (GGA-PBE) data for a relaxed Na2Sc2F crystal, as listed in Alexandria.

```
data_Na2Sc2F
_cell_length_a 3.630
_cell_length_b 3.630
_cell_length_c 18.028
_cell_angle_alpha 90.00
_cell_angle_beta 90.00
_cell_angle_gamma 90.00
_symmetry_space_group_name_H-M 'I 4/m m m'
_symmetry_Int_Tables_number 139
_symmetry_space_group_name_Hall '-I 4 2'
loop_
_atom_site_label
_atom_site_type_symbol
_atom_site_fract_x
_atom_site_fract_y
_atom_site_fract_z
_atom_site_occupancy
Na1 Na 0.000 0.500 0.250 1
Sc1 Sc 0.000 0.000 0.084 1
F1 F 0.000 0.000 0.500 1
```

Calculated values
- Offset from the most stable computed form: 692 meV/atom
- Calculated volume: 238 Å³ per cell
- ΔE_f (raw): 22 meV/atom

Record 2
First-principles (GGA-PBE) data for a relaxed Na5Sc2F12 crystal, as listed in Alexandria.

```
data_Na5Sc2F12
_cell_length_a 11.640
_cell_length_b 6.424
_cell_length_c 7.851
_cell_angle_alpha 90.00
_cell_angle_beta 101.84
_cell_angle_gamma 90.00
_symmetry_space_group_name_H-M 'C 1 2/m 1'
_symmetry_Int_Tables_number 12
_symmetry_space_group_name_Hall '-C 2y'
loop_
_atom_site_label
_atom_site_type_symbol
_atom_site_fract_x
_atom_site_fract_y
_atom_site_fract_z
_atom_site_occupancy
Na1 Na 0.000 0.000 0.000 1
Na2 Na 0.207 0.500 0.852 1
Na3 Na 0.209 0.500 0.243 1
Sc1 Sc 0.000 0.247 0.500 1
F1 F 0.035 0.000 0.348 1
F2 F 0.037 0.500 0.351 1
F3 F 0.147 0.249 0.034 1
F4 F 0.163 0.253 0.631 1
```

Calculated values
- Calculated volume: 575 Å³ per cell
- ΔE_f (raw): -3063 meV/atom

Record 3
First-principles (GGA-PBE) data for a relaxed NaScF2 crystal, as listed in Alexandria.

```
data_NaScF2
_cell_length_a 3.4310
_cell_length_b 3.4310
_cell_length_c 19.4861
_cell_angle_alpha 90.00
_cell_angle_beta 90.00
_cell_angle_gamma 120.00
_symmetry_space_group_name_H-M 'R -3 m'
_symmetry_Int_Tables_number 166
_symmetry_space_group_name_Hall '-R 3 2"'
loop_
_atom_site_label
_atom_site_type_symbol
_atom_site_fract_x
_atom_site_fract_y
_atom_site_fract_z
_atom_site_occupancy
Na1 Na 0.0000 0.0000 0.0000 1
Sc1 Sc 0.0000 0.0000 0.5000 1
F1 F 0.0000 0.0000 0.3967 1
```

Calculated values
- Offset from the most stable computed form: 0 meV/atom
- Calculated volume: 199 Å³ per cell
- ΔE_f (raw): -2594 meV/atom

Q: Among the records above, which one has the lowest calculated volume?
A: NaScF2

Repeat the second record exactly.
First-principles (GGA-PBE) data for a relaxed Na5Sc2F12 crystal, as listed in Alexandria.

```
data_Na5Sc2F12
_cell_length_a 11.640
_cell_length_b 6.424
_cell_length_c 7.851
_cell_angle_alpha 90.00
_cell_angle_beta 101.84
_cell_angle_gamma 90.00
_symmetry_space_group_name_H-M 'C 1 2/m 1'
_symmetry_Int_Tables_number 12
_symmetry_space_group_name_Hall '-C 2y'
loop_
_atom_site_label
_atom_site_type_symbol
_atom_site_fract_x
_atom_site_fract_y
_atom_site_fract_z
_atom_site_occupancy
Na1 Na 0.000 0.000 0.000 1
Na2 Na 0.207 0.500 0.852 1
Na3 Na 0.209 0.500 0.243 1
Sc1 Sc 0.000 0.247 0.500 1
F1 F 0.035 0.000 0.348 1
F2 F 0.037 0.500 0.351 1
F3 F 0.147 0.249 0.034 1
F4 F 0.163 0.253 0.631 1
```

Calculated values
- Calculated volume: 575 Å³ per cell
- ΔE_f (raw): -3063 meV/atom

Q: What is the calculated volume in the third record?
A: 199 Å³ per cell

Q: Which of these has the highest calculated volume?
A: Na5Sc2F12